# NdSm4Sc

A relaxed structure of NdSm4Sc (PBE, Alexandria via LeMat-Bulk).

abc: 6.5184 6.9212 8.9908
angles: 90.00 103.77 90.00
Last column: nearest neighbours and their distance in Å.
Sites, in units of the cell vectors:
Nd1 0.0994 0.2500 0.3525  8 Sm 3.33-3.66, 1 Sc 3.63
Nd2 0.9006 0.7500 0.6475  8 Sm 3.33-3.66, 1 Sc 3.63
Sm1 0.1349 0.7500 0.3383  5 Sm 3.32-3.69, 3 Nd 3.47-3.48, 1 Sc 3.51
Sm2 0.1964 0.2500 0.0056  4 Sc 3.20-3.55, 1 Sm 3.32, 1 Nd 3.33
Sm3 0.3973 0.0002 0.6954  2 Sc 3.39-3.41, 6 Sm 3.46-3.77, 2 Nd 3.61-3.66
Sm4 0.3973 0.4998 0.6954  2 Sc 3.39-3.41, 6 Sm 3.46-3.77, 2 Nd 3.61-3.66
Sm5 0.6027 0.9998 0.3046  2 Sc 3.39-3.41, 6 Sm 3.46-3.77, 2 Nd 3.61-3.66
Sm6 0.6027 0.5002 0.3046  2 Sc 3.39-3.41, 6 Sm 3.46-3.77, 2 Nd 3.61-3.66
Sm7 0.8036 0.7500 0.9944  4 Sc 3.20-3.55, 1 Sm 3.32, 1 Nd 3.33
Sm8 0.8651 0.2500 0.6617  5 Sm 3.32-3.69, 3 Nd 3.47-3.48, 1 Sc 3.51
Sc1 0.3140 0.7500 0.9994  9 Sm 3.20-3.55
Sc2 0.6860 0.2500 0.0006  9 Sm 3.20-3.55

## Properties
calculated formation energy = 0.12 eV/atom
energy = -4.873 eV per atom
size of the total moment = 0.00 μB/cell
energy above the most stable polymorph in this dataset = 86 meV per atom

=====

# Nd3SmSc3

A relaxed structure of Nd3SmSc3 (PBE, Alexandria via LeMat-Bulk).

abc: 7.8135 7.8135 7.8135
angles: 72.44 72.44 72.44
Last column: nearest neighbours and their distance in Å.
Sites, in units of the cell vectors:
Nd1 0.1762 0.6170 0.4543  5 Sc 3.39-3.64, 2 Sm 3.50-3.60, 5 Nd 3.54-3.56
Nd2 0.3830 0.5457 0.8238  5 Sc 3.39-3.64, 2 Sm 3.50-3.60, 5 Nd 3.54-3.56
Nd3 0.4543 0.1762 0.6170  5 Sc 3.39-3.64, 2 Sm 3.50-3.60, 5 Nd 3.54-3.56
Nd4 0.5457 0.8238 0.3830  5 Sc 3.39-3.64, 2 Sm 3.50-3.60, 5 Nd 3.54-3.56
Nd5 0.6170 0.4543 0.1762  5 Sc 3.39-3.64, 2 Sm 3.50-3.60, 5 Nd 3.54-3.56
Nd6 0.8238 0.3830 0.5457  5 Sc 3.39-3.64, 2 Sm 3.50-3.60, 5 Nd 3.54-3.56
Sm1 0.2435 0.2435 0.2435  6 Sc 3.40-3.54, 6 Nd 3.50-3.60
Sm2 0.7565 0.7565 0.7565  6 Sc 3.40-3.54, 6 Nd 3.50-3.60
Sc1 0.0317 0.3119 0.8985  5 Sc 3.37-3.59, 5 Nd 3.39-3.64, 2 Sm 3.40-3.54
Sc2 0.1015 0.9683 0.6881  5 Sc 3.37-3.59, 5 Nd 3.39-3.64, 2 Sm 3.40-3.54
Sc3 0.3119 0.8985 0.0317  5 Sc 3.37-3.59, 5 Nd 3.39-3.64, 2 Sm 3.40-3.54
Sc4 0.6881 0.1015 0.9683  5 Sc 3.37-3.59, 5 Nd 3.39-3.64, 2 Sm 3.40-3.54
Sc5 0.8985 0.0317 0.3119  5 Sc 3.37-3.59, 5 Nd 3.39-3.64, 2 Sm 3.40-3.54
Sc6 0.9683 0.6881 0.1015  5 Sc 3.37-3.59, 5 Nd 3.39-3.64, 2 Sm 3.40-3.54

## Properties
calculated formation energy = 0.06 eV/atom
energy = -5.368 eV per atom
size of the total moment = 0.00 μB/cell
energy above the most stable polymorph in this dataset = 0 meV per atom

=====

# Nd3Sm3Sc2

A relaxed structure of Nd3Sm3Sc2 (PBE, Alexandria via LeMat-Bulk).

abc: 5.0248 5.0425 10.0065
angles: 90.00 90.00 90.00
Last column: nearest neighbours and their distance in Å.
Sites, in units of the cell vectors:
Nd1 0.0000 0.0000 0.0000  4 Sc 3.55, 4 Sm 3.56, 4 Nd 3.56
Nd2 0.0000 0.0000 0.5000  4 Sc 3.54, 8 Sm 3.55-3.56
Nd3 0.5000 0.5000 0.0000  4 Sm 3.55, 4 Sc 3.56, 4 Nd 3.56
Sm1 0.0000 0.5000 0.2508  2 Sm 3.54, 6 Nd 3.55-3.56, 4 Sc 3.56
Sm2 0.0000 0.5000 0.7492  2 Sm 3.54, 6 Nd 3.55-3.56, 4 Sc 3.56
Sm3 0.5000 0.5000 0.5000  4 Sm 3.54, 4 Sc 3.55, 4 Nd 3.56
Sc1 0.5000 0.0000 0.2508  6 Nd 3.54-3.56, 6 Sm 3.55-3.56
Sc2 0.5000 0.0000 0.7492  6 Nd 3.54-3.56, 6 Sm 3.55-3.56

## Properties
calculated formation energy = 0.04 eV/atom
energy = -5.102 eV per atom
size of the total moment = 0.00 μB/cell
energy above the most stable polymorph in this dataset = 0 meV per atom

=====

# Nd6SmSc

A relaxed structure of Nd6SmSc (PBE, Alexandria via LeMat-Bulk).

abc: 5.1212 5.1212 10.2472
angles: 90.00 90.00 90.00
Last column: nearest neighbours and their distance in Å.
Sites, in units of the cell vectors:
Nd1 0.0000 0.0000 0.0000  8 Nd 3.58, 4 Sc 3.62
Nd2 0.0000 0.0000 0.5000  4 Sm 3.62, 8 Nd 3.67
Nd3 0.0000 0.5000 0.2439  8 Nd 3.58-3.67, 2 Sc 3.58, 2 Sm 3.67
Nd4 0.0000 0.5000 0.7561  8 Nd 3.58-3.67, 2 Sc 3.58, 2 Sm 3.67
Nd5 0.5000 0.0000 0.2439  8 Nd 3.58-3.67, 2 Sc 3.58, 2 Sm 3.67
Nd6 0.5000 0.0000 0.7561  8 Nd 3.58-3.67, 2 Sc 3.58, 2 Sm 3.67
Sm1 0.5000 0.5000 0.5000  12 Nd 3.62-3.67
Sc1 0.5000 0.5000 0.0000  12 Nd 3.58-3.62

## Properties
calculated formation energy = 0.03 eV/atom
energy = -4.927 eV per atom
size of the total moment = 0.00 μB/cell
energy above the most stable polymorph in this dataset = 0 meV per atom

=====

# Nd9SmSc2

A relaxed structure of Nd9SmSc2 (PBE, Alexandria via LeMat-Bulk).

abc: 5.0943 5.0943 15.3114
angles: 90.00 90.00 90.00
Last column: nearest neighbours and their distance in Å.
Sites, in units of the cell vectors:
Nd1 0.0000 0.0000 0.0000  4 Sm 3.60, 8 Nd 3.67
Nd2 0.0000 0.0000 0.3368  8 Nd 3.57-3.58, 4 Sc 3.60
Nd3 0.0000 0.0000 0.6632  8 Nd 3.57-3.58, 4 Sc 3.60
Nd4 0.0000 0.5000 0.1722  2 Sc 3.58, 8 Nd 3.58-3.67, 2 Sm 3.67
Nd5 0.0000 0.5000 0.5000  8 Nd 3.57-3.60, 4 Sc 3.57
Nd6 0.0000 0.5000 0.8278  2 Sc 3.58, 8 Nd 3.58-3.67, 2 Sm 3.67
Nd7 0.5000 0.0000 0.1722  2 Sc 3.58, 8 Nd 3.58-3.67, 2 Sm 3.67
Nd8 0.5000 0.0000 0.5000  8 Nd 3.57-3.60, 4 Sc 3.57
Nd9 0.5000 0.0000 0.8278  2 Sc 3.58, 8 Nd 3.58-3.67, 2 Sm 3.67
Sm1 0.5000 0.5000 0.0000  12 Nd 3.60-3.67
Sc1 0.5000 0.5000 0.3362  12 Nd 3.57-3.60
Sc2 0.5000 0.5000 0.6638  12 Nd 3.57-3.60

## Properties
calculated formation energy = 0.03 eV/atom
energy = -4.991 eV per atom
size of the total moment = 0.00 μB/cell

=====

# Nd3Sm7Sc2

A relaxed structure of Nd3Sm7Sc2 (PBE, Alexandria via LeMat-Bulk).

abc: 11.7815 11.7815 11.7815
angles: 32.24 32.24 32.24
Last column: nearest neighbours and their distance in Å.
Sites, in units of the cell vectors:
Nd1 0.0000 0.0000 0.0000  6 Sc 3.78
Nd2 0.1541 0.1541 0.1541  12 Sm 3.79-4.08, 3 Nd 3.87
Nd3 0.8459 0.8459 0.8459  12 Sm 3.79-4.08, 3 Nd 3.87
Sm1 0.0793 0.5819 0.5819  5 Sm 3.25-3.44, 2 Sc 3.31
Sm2 0.4181 0.4181 0.9207  5 Sm 3.25-3.44, 2 Sc 3.31
Sm3 0.4181 0.9207 0.4181  5 Sm 3.25-3.44, 2 Sc 3.31
Sm4 0.5000 0.5000 0.5000  6 Sm 3.44, 6 Nd 3.80
Sm5 0.5819 0.0793 0.5819  5 Sm 3.25-3.44, 2 Sc 3.31
Sm6 0.5819 0.5819 0.0793  5 Sm 3.25-3.44, 2 Sc 3.31
Sm7 0.9207 0.4181 0.4181  5 Sm 3.25-3.44, 2 Sc 3.31
Sc1 0.3335 0.3335 0.3335  6 Sm 3.31
Sc2 0.6665 0.6665 0.6665  6 Sm 3.31

## Properties
calculated formation energy = 0.29 eV/atom
energy = -4.712 eV per atom
size of the total moment = 0.00 μB/cell

=====

What is the energy in the fourth record? -4.927 eV per atom

=====

What is the size of the total moment in the third record? 0.00 μB/cell

=====

Look up the energy of the third one. -5.102 eV per atom